First-principles (PBE) data for AgGeSeO after structural relaxation, as listed in OQMD via LeMat-Bulk.

For the total energy, the calculation gives -4.336 eV/atom.

The space group is P2_12_12_1 (No. 19) and the conventional cell measures 6.162, 6.661 and 8.029 Å, with angles of 90.00, 90.00 and 90.00 degrees. The asymmetric unit holds Ag at (0.014, 0.175, 0.139), Ge at (0.008, 0.589, 0.894), Se at (0.215, 0.927, 0.865) and O at (0.195, 0.414, 0.965).